[1]
A relaxed structure of Ba2LiTlPd, computed with PBE.

Lattice parameters (Å, degrees): 6.1622 6.1622 5.3569 90.00 90.00 90.00
Fractional positions:
Tl  0.0000  0.0000  0.5000
Li  0.5000  0.5000  0.5000
Ba  0.5000  0.0000  0.0000
Pd  0.0000  0.0000  0.0000
Ba  0.0000  0.5000  0.0000

Values from the calculation:
formation energy from the elements = -0.228 eV per atom
offset from the most stable computed form = 46.4 meV/atom

---

[2]
A relaxed structure of Tm2TiCu, computed with PBE.

Lattice parameters (Å, degrees): 3.6065 4.9168 4.9168 90.00 90.00 90.00
Site moments in Bohr magnetons follow the coordinates.
Fractional positions:
Cu  0.5000  0.5000  0.5000  0.03
Ti  0.5000  0.0000  0.0000  1.31
Tm  0.0000  0.0000  0.5000  0.31
Tm  0.0000  0.5000  0.0000  0.31

Values from the calculation:
formation energy from the elements = 0.090 eV per atom
offset from the most stable computed form = 115.8 meV/atom

---

[3]
A relaxed structure of Sr2CeNpSb4, computed with PBE.

Lattice parameters (Å, degrees): 4.5854 7.9416 8.0001 109.34 90.00 90.00
Site moments in Bohr magnetons follow the coordinates.
Fractional positions:
Sr  0.0000  0.5000  0.5000  -0.03
Sb  0.0000  0.7434  0.2217  -0.05
Sr  0.5000  0.0000  0.5000  -0.01
Sb  0.5000  0.7630  0.7800  -0.09
Sb  0.0000  0.2566  0.7783  -0.05
Ce  0.5000  0.5000  0.0000  0.10
Sb  0.5000  0.2370  0.2200  -0.09
Np  0.0000  0.0000  0.0000  3.64

Values from the calculation:
uncorrected formation energy = -777 meV/atom

---

[4]
A relaxed structure of AcAlCdPd, computed with PBE.

Lattice parameters (Å, degrees): 4.4511 4.4511 6.4345 69.76 69.76 60.00
Fractional positions:
Pd  0.2823  0.2823  0.1531
Cd  0.0195  0.0195  0.9415
Al  0.6087  0.6087  0.1740
Ac  0.8154  0.8154  0.5538

Values from the calculation:
formation energy from the elements = -0.489 eV per atom